Record 1
Below is a relaxed Zn2PbF7 crystal, with properties calculated at the PBE level.

Results
E_form (uncorrected)	-2.026	eV per atom

a b c (Å): 3.823 6.131 6.131
angles (deg): 110.15 90.00 90.00
Sites, in units of the cell vectors:
1 Zn 0.500 0.694 0.306
2 Zn 0.500 0.306 0.694
3 Pb 0.000 0.000 0.000
4 F 0.000 0.713 0.287
5 F 0.000 0.287 0.713
6 F 0.500 0.044 0.309
7 F 0.500 0.956 0.691
8 F 0.500 0.309 0.044
9 F 0.500 0.691 0.956
10 F 0.500 0.500 0.500

***

Record 2
Below is a relaxed ZnPb2F8 crystal, with properties calculated at the PBE level.

Results
E_form (uncorrected)	-2.018	eV per atom

a b c (Å): 4.566 6.776 6.776
angles (deg): 120.01 90.00 90.00
Sites, in units of the cell vectors:
1 Pb 0.244 0.333 0.667
2 Pb 0.756 0.667 0.333
3 Zn 0.000 0.000 0.000
4 F 0.258 0.667 0.333
5 F 0.742 0.333 0.667
6 F 0.761 0.852 0.146
7 F 0.239 0.146 0.294
8 F 0.239 0.706 0.852
9 F 0.239 0.148 0.854
10 F 0.761 0.854 0.706
11 F 0.761 0.294 0.148

***

Record 3
Below is a relaxed Zn3PbF8 crystal, with properties calculated at the PBE level.

Results
E_form (uncorrected)	-2.254	eV per atom

a b c (Å): 4.069 8.309 6.661
angles (deg): 112.05 107.78 90.00
Sites, in units of the cell vectors:
1 Zn 0.399 0.306 0.798
2 Zn 0.678 0.227 0.355
3 Zn 0.619 0.734 0.238
4 Pb 0.363 0.793 0.726
5 F 0.458 0.571 0.916
6 F 0.345 0.050 0.691
7 F 0.852 0.303 0.704
8 F 0.214 0.266 0.428
9 F 0.766 0.692 0.531
10 F 0.147 0.735 0.294
11 F 0.565 0.332 0.130
12 F 0.593 0.960 0.185

***

Record 4
Below is a relaxed ZnPb2F crystal, with properties calculated at the PBE level.

Results
E_form (uncorrected)	-0.496	eV per atom

a b c (Å): 5.261 5.261 8.719
angles (deg): 72.44 72.44 90.00
Sites, in units of the cell vectors:
1 Pb 0.559 0.125 0.250
2 Pb 0.191 0.625 0.250
3 Pb 0.375 0.441 0.750
4 Pb 0.875 0.809 0.750
5 Zn 0.000 0.000 0.000
6 Zn 0.750 0.250 0.500
7 F 0.500 0.500 0.000
8 F 0.250 0.750 0.500

***

Record 5
Below is a relaxed ZnPbF2 crystal, with properties calculated at the PBE level.

Results
E_form (uncorrected)	-1.532	eV per atom

a b c (Å): 7.685 7.685 7.685
angles (deg): 24.33 24.33 24.33
Sites, in units of the cell vectors:
1 Pb 0.000 0.000 0.000
2 Zn 0.500 0.500 0.500
3 F 0.877 0.877 0.877
4 F 0.123 0.123 0.123

***

Record 6
Below is a relaxed ZnPbF2 crystal, with properties calculated at the PBE level.

Results
E_form (uncorrected)	-1.336	eV per atom

a b c (Å): 4.569 4.569 4.569
angles (deg): 60.00 60.00 60.00
Sites, in units of the cell vectors:
1 Pb 0.500 0.500 0.500
2 Zn 0.000 0.000 0.000
3 F 0.250 0.250 0.250
4 F 0.750 0.750 0.750

***

Record 7
Below is a relaxed ZrPbF3 crystal, with properties calculated at the PBE level.

Results
E_form (uncorrected)	-2.074	eV per atom

a b c (Å): 4.443 4.443 4.443
angles (deg): 90.00 90.00 90.00
Site moments in Bohr magnetons follow the coordinates.
Sites, in units of the cell vectors:
1 Pb 0.500 0.500 0.500  0.11
2 Zr 0.000 0.000 0.000  0.84
3 F 0.000 0.500 0.000  0.01
4 F 0.000 0.000 0.500  0.03
5 F 0.500 0.000 0.000  0.04

***

Record 8
Below is a relaxed ZrPbF crystal, with properties calculated at the PBE level.

Results
E_form (uncorrected)	-1.348	eV per atom

a b c (Å): 3.260 3.260 15.207
angles (deg): 90.00 90.00 120.00
Sites, in units of the cell vectors:
1 Pb 0.335 0.670 0.000
2 Pb 0.333 0.667 0.500
3 Zr 0.666 0.332 0.336
4 Zr 0.666 0.332 0.664
5 F 0.333 0.666 0.754
6 F 0.333 0.666 0.246

***

Record 9
Below is a relaxed Zr2PbF11 crystal, with properties calculated at the PBE level.

Results
E_form (uncorrected)	-3.177	eV per atom

a b c (Å): 7.884 8.435 8.435
angles (deg): 73.84 62.14 62.14
Sites, in units of the cell vectors:
1 Zr 0.636 0.681 0.319
2 Zr 0.364 0.319 0.681
3 Zr 0.864 0.181 0.819
4 Zr 0.136 0.819 0.181
5 Pb 0.750 0.750 0.750
6 Pb 0.250 0.250 0.250
7 F 0.631 0.707 0.558
8 F 0.369 0.293 0.442
9 F 0.104 0.558 0.707
10 F 0.869 0.942 0.793
11 F 0.896 0.442 0.293
12 F 0.131 0.058 0.207
13 F 0.396 0.793 0.942
14 F 0.604 0.207 0.058
15 F 0.500 0.500 0.500
16 F 0.000 0.000 0.000
17 F 0.872 0.780 0.220
18 F 0.128 0.220 0.780
19 F 0.628 0.280 0.720
20 F 0.372 0.720 0.280
21 F 0.465 0.956 0.323
22 F 0.535 0.044 0.677
23 F 0.257 0.323 0.956
24 F 0.035 0.177 0.544
25 F 0.743 0.677 0.044
26 F 0.965 0.823 0.456
27 F 0.243 0.544 0.177
28 F 0.757 0.456 0.823

***

Record 10
Below is a relaxed ZrPb2F crystal, with properties calculated at the PBE level.

Results
E_form (uncorrected)	-0.244	eV per atom

a b c (Å): 4.350 4.350 10.945
angles (deg): 78.54 78.54 90.00
Sites, in units of the cell vectors:
1 Pb 0.627 0.125 0.250
2 Pb 0.123 0.625 0.250
3 Pb 0.375 0.373 0.750
4 Pb 0.875 0.877 0.750
5 Zr 0.000 0.000 0.000
6 Zr 0.750 0.250 0.500
7 F 0.500 0.500 0.000
8 F 0.250 0.750 0.500

***

Record 11
Below is a relaxed ZrPbF3 crystal, with properties calculated at the PBE level.

Results
E_form (uncorrected)	-1.153	eV per atom

a b c (Å): 4.779 4.779 4.779
angles (deg): 90.00 90.00 90.00
Site moments in Bohr magnetons follow the coordinates.
Sites, in units of the cell vectors:
1 Pb 0.000 0.000 0.000  0.04
2 Zr 0.500 0.500 0.500  1.79
3 F 0.000 0.500 0.000  0.04
4 F 0.000 0.000 0.500  0.03
5 F 0.500 0.000 0.000  0.02

***

Record 12
Below is a relaxed Zr2PbF crystal, with properties calculated at the PBE level.

Results
E_form (uncorrected)	-0.475	eV per atom

a b c (Å): 5.172 5.172 8.128
angles (deg): 71.45 71.45 90.00
Sites, in units of the cell vectors:
1 Pb 0.000 0.000 0.000
2 Pb 0.750 0.250 0.500
3 Zr 0.463 0.125 0.250
4 Zr 0.287 0.625 0.250
5 Zr 0.375 0.537 0.750
6 Zr 0.875 0.713 0.750
7 F 0.500 0.500 0.000
8 F 0.250 0.750 0.500